LaIn2Br after structural relaxation. Source: the Alexandria database, functional PBE-GGA.

formation energy (no corrections)	-0.275	eV/atom
energy above the most stable polymorph in this dataset	388	meV/atom

Lattice parameters (Å, degrees): 3.7099 3.7099 8.6531 90.00 90.00 90.00
Positions (direct):
In  0.0000  0.0000  0.5041
In  0.0000  0.0000  0.9959
Br  0.5000  0.5000  0.7500
La  0.5000  0.5000  0.2500



MgPa2Pb9 after structural relaxation. Source: the Alexandria database, functional PBE-GGA.

E_form	0.021	eV per atom

Lattice parameters (Å, degrees): 4.7504 4.7504 15.1630 90.00 90.00 90.00
Positions (direct):
Pb  0.5000  0.0000  0.8320
Pb  0.5000  0.0000  0.5000
Pb  0.0000  0.5000  0.8320
Pb  0.0000  0.5000  0.5000
Pb  0.5000  0.5000  0.0000
Pb  0.5000  0.5000  0.6674
Pb  0.0000  0.5000  0.1680
Pb  0.5000  0.5000  0.3326
Pb  0.5000  0.0000  0.1680
Pa  0.0000  0.0000  0.3458
Pa  0.0000  0.0000  0.6542
Mg  0.0000  0.0000  0.0000



Si2Ni2Bi after structural relaxation. Source: the Alexandria database, functional PBE-GGA.

formation energy (no corrections)	-0.165	eV/atom
energy above the most stable polymorph in this dataset	0	meV/atom

Lattice parameters (Å, degrees): 3.6857 3.6857 6.3094 73.02 73.02 90.00
Positions (direct):
Ni  0.6256  0.6256  0.7489
Ni  0.3744  0.3744  0.2511
Bi  0.0000  0.0000  0.0000
Si  0.7500  0.2500  0.5000
Si  0.2500  0.7500  0.5000



RbZnCd after structural relaxation. Source: the Alexandria database, functional PBE-GGA.

E_form	0.002	eV per atom
energy above the most stable polymorph in this dataset	0	meV/atom

Lattice parameters (Å, degrees): 4.6021 7.0942 7.7270 120.51 107.02 90.21
Positions (direct):
Zn  0.2155  0.0299  0.4324
Zn  0.7845  0.9701  0.5676
Rb  0.8880  0.5716  0.7779
Rb  0.1120  0.4284  0.2221
Cd  0.5997  0.9971  0.1985
Cd  0.4003  0.0029  0.8015



CaNd8Ho2 after structural relaxation. Source: the Alexandria database, functional PBE-GGA.

E_form	0.144	eV per atom

Lattice parameters (Å, degrees): 5.7049 8.5256 9.5438 116.53 107.39 90.00
Positions (direct):
Nd  0.3575  0.5577  0.7149
Nd  0.0000  0.3073  0.0000
Nd  0.8382  0.8382  0.6764
Nd  0.3575  0.1572  0.7149
Nd  0.0000  0.6927  0.0000
Nd  0.6425  0.8428  0.2851
Nd  0.6425  0.4423  0.2851
Nd  0.1618  0.1618  0.3236
Ca  0.5000  0.0000  0.0000
Ho  0.7975  0.2975  0.5950
Ho  0.2025  0.7025  0.4050



Pr2NdRu2 after structural relaxation. Source: the Alexandria database, functional PBE-GGA.

E_form	-0.074	eV per atom

Lattice parameters (Å, degrees): 4.4438 5.6126 11.2055 85.38 90.00 90.00
Positions (direct):
Pr  0.2500  0.2362  0.5223
Pr  0.2500  0.9185  0.8713
Pr  0.7500  0.7638  0.4777
Pr  0.7500  0.0815  0.1287
Ru  0.7500  0.5839  0.0136
Ru  0.2500  0.6972  0.6447
Ru  0.7500  0.3028  0.3553
Ru  0.2500  0.4161  0.9864
Nd  0.7500  0.4483  0.7693
Nd  0.2500  0.5517  0.2307



Rb3TaS6 after structural relaxation. Source: the Alexandria database, functional PBE-GGA.

formation energy (no corrections)	-0.574	eV/atom

Lattice parameters (Å, degrees): 7.9096 7.9096 7.9096 60.00 60.00 60.00
Positions (direct):
Rb  0.7500  0.7500  0.7500
Rb  0.2500  0.2500  0.2500
Rb  0.5000  0.5000  0.5000
S  0.7850  0.7850  0.2150
S  0.7850  0.2150  0.7850
S  0.2150  0.2150  0.7850
S  0.2150  0.7850  0.7850
S  0.2150  0.7850  0.2150
S  0.7850  0.2150  0.2150
Ta  0.0000  0.0000  0.0000



Na3Li4I8 after structural relaxation. Source: the Alexandria database, functional PBE-GGA.

formation energy (no corrections)	-1.061	eV/atom
energy above the most stable polymorph in this dataset	0	meV/atom

Lattice parameters (Å, degrees): 8.5457 8.8158 8.8158 90.25 118.90 118.90
Positions (direct):
I  0.5000  0.2437  0.7563
I  0.4838  0.2331  0.2331
I  0.0000  0.2413  0.7587
I  0.0000  0.7587  0.2413
I  0.0157  0.7628  0.7628
I  0.5162  0.7669  0.7669
I  0.9843  0.2372  0.2372
I  0.5000  0.7563  0.2437
Li  0.5000  0.0000  0.0000
Li  0.0000  0.5000  0.0000
Li  0.0000  0.0000  0.5000
Li  0.0000  0.0000  0.0000
Na  0.5000  0.0000  0.5000
Na  0.5000  0.5000  0.0000
Na  0.5000  0.5000  0.5000